No. 1
A plane-wave DFT calculation with GGA-PBE was carried out for an optimized crystal structure of K2IrRh.

Values from the calculation:
energy above the lowest structure with this stoichiometry: 202 meV/atom
calculated formation energy: 0.5803 eV per atom
space-group type: Imm2, No. 44
final energy: -16.1 eV/cell

a = 5.8861 Å, b = 5.8861 Å, c = 5.8861 Å
α = 136.76°, β = 122.77°, γ = 74.35°
Atoms (fractional coordinates):
1 K 0.0000 0.0000 0.0000
2 K 0.6964 0.1964 0.5000
3 Ir 0.3983 0.3983 0.0000
4 Rh 0.2979 0.7979 0.5000

---

No. 2
A plane-wave DFT calculation with GGA-PBE was carried out for an optimized crystal structure of Zn2Ag2F7.

Values from the calculation:
energy above the lowest structure with this stoichiometry: 44 meV/atom
space-group type: C2/m, No. 12
final energy: -40.1 eV/cell
formation energy from raw total energies: -1.70 eV per atom

a = 5.5572 Å, b = 5.5572 Å, c = 5.6628 Å
α = 91.55°, β = 91.55°, γ = 99.96°
Atoms (fractional coordinates):
1 Zn 0.2323 0.2323 0.0682
2 Zn 0.7677 0.7677 0.9318
3 Ag 0.2168 0.7832 0.5000
4 Ag 0.7832 0.2168 0.5000
5 F 0.0539 0.4369 0.2689
6 F 0.0702 0.0702 0.7857
7 F 0.4369 0.0539 0.2689
8 F 0.5000 0.5000 0.0000
9 F 0.5631 0.9461 0.7311
10 F 0.9298 0.9298 0.2143
11 F 0.9461 0.5631 0.7311

---

No. 3
A plane-wave DFT calculation with GGA-PBE was carried out for an optimized crystal structure of GdPuTi.

Values from the calculation:
calculated formation energy: 0.2216 eV per atom
space-group type: I4mm, No. 107
final energy: -35.6 eV/cell

a = 7.2582 Å, b = 7.2582 Å, c = 7.2582 Å
α = 153.96°, β = 153.96°, γ = 37.16°
Atoms (fractional coordinates):
1 Gd 0.0000 0.0000 0.0000
2 Pu 0.6943 0.6943 0.0000
3 Ti 0.3362 0.3362 0.0000

---

No. 4
A plane-wave DFT calculation with GGA-PBE was carried out for an optimized crystal structure of La2InCoAg.

Values from the calculation:
energy above the lowest structure with this stoichiometry: 0 meV/atom
calculated formation energy: -0.2436 eV per atom
space-group type: P4/mmm, No. 123
final energy: -23.8 eV/cell

a = 5.2518 Å, b = 5.2518 Å, c = 4.9614 Å
α = 90.00°, β = 90.00°, γ = 90.00°
Atoms (fractional coordinates):
1 La 0.0000 0.5000 0.0000
2 La 0.5000 0.0000 0.0000
3 In 0.0000 0.0000 0.5000
4 Co 0.0000 0.0000 0.0000
5 Ag 0.5000 0.5000 0.5000

---

No. 5
A plane-wave DFT calculation with GGA-PBE was carried out for an optimized crystal structure of Rb2TaCdSb.

Values from the calculation:
space-group type: P4/mmm, No. 123
final energy: -12.3 eV/cell
formation energy from raw total energies: 1.31 eV per atom

a = 6.7163 Å, b = 6.7163 Å, c = 5.5847 Å
α = 90.00°, β = 90.00°, γ = 90.00°
Atoms (fractional coordinates):
1 Rb 0.0000 0.5000 0.0000
2 Rb 0.5000 0.0000 0.0000
3 Ta 0.0000 0.0000 0.0000
4 Cd 0.0000 0.0000 0.5000
5 Sb 0.5000 0.5000 0.5000

---

No. 6
A plane-wave DFT calculation with GGA-PBE was carried out for an optimized crystal structure of LaTmMgPb.

Values from the calculation:
calculated formation energy: -0.2951 eV per atom
space-group type: F-43m, No. 216
final energy: -15.9 eV/cell

a = 5.4603 Å, b = 5.4603 Å, c = 5.4603 Å
α = 60.00°, β = 60.00°, γ = 60.00°
Atoms (fractional coordinates):
1 La 0.0000 0.0000 0.0000
2 Tm 0.5000 0.5000 0.5000
3 Mg 0.7500 0.7500 0.7500
4 Pb 0.2500 0.2500 0.2500

---

No. 7
A plane-wave DFT calculation with GGA-PBE was carried out for an optimized crystal structure of ScC2.

Values from the calculation:
calculated formation energy: 0.4971 eV per atom
space-group type: I4_1/amd, No. 141
final energy: -93.2 eV/cell

a = 14.0713 Å, b = 14.0713 Å, c = 14.0713 Å
α = 168.42°, β = 168.42°, γ = 16.41°
Atoms (fractional coordinates):
1 Sc 0.3094 0.5594 0.7500
2 Sc 0.4406 0.6906 0.7500
3 Sc 0.5594 0.3094 0.2500
4 Sc 0.6906 0.4406 0.2500
5 C 0.0128 0.7628 0.2500
6 C 0.1233 0.3733 0.7500
7 C 0.2372 0.9872 0.2500
8 C 0.3733 0.1233 0.2500
9 C 0.6267 0.8767 0.7500
10 C 0.7628 0.0128 0.7500
11 C 0.8767 0.6267 0.2500
12 C 0.9872 0.2372 0.7500

---

No. 8
A plane-wave DFT calculation with GGA-PBE was carried out for an optimized crystal structure of MnOsPt3.

Values from the calculation:
energy above the lowest structure with this stoichiometry: 0 meV/atom
calculated formation energy: 1.5668 eV per atom
space-group type: Pm-3m, No. 221
final energy: -30.7 eV/cell

a = 4.5400 Å, b = 4.5400 Å, c = 4.5400 Å
α = 90.00°, β = 90.00°, γ = 90.00°
Atoms (fractional coordinates):
1 Mn 0.0000 0.0000 0.0000
2 Os 0.5000 0.5000 0.5000
3 Pt 0.0000 0.0000 0.5000
4 Pt 0.0000 0.5000 0.0000
5 Pt 0.5000 0.0000 0.0000

---

Question: Among the records above, which one has the lowest final energy?
Answer: ScC2